[1]
Entry from Alexandria: crystalline Al2ZnRu at its relaxed geometry (PBE). Values from VASP.

Computed properties:
Final energy ... -4.8871 eV per atom
Crystal system ... monoclinic
Energy of formation from the pure elements ... -8.73 kcal/mol of atoms

```
&SYSTEM
  ibrav = 0, nat = 4, ntyp = 3
/
ATOMIC_SPECIES
Ru 101.07 Ru.upf
Zn 65.41 Zn.upf
Al 26.98 Al.upf
ATOMIC_POSITIONS angstrom
Ru -2.5968 -4.6636 -1.6579
Zn -4.2329 -7.3247 -2.2024
Al -2.5340 -2.4976 2.0889
Al -1.5013 -2.4819 -0.5718
CELL_PARAMETERS angstrom
-2.6388 -2.6494 -3.0742
-0.2037 -4.3378 -2.1390
-2.6405 -2.5947 2.1907
```

[2]
Entry from Alexandria: crystalline Sm2CdPdO6 at its relaxed geometry (PBE). Values from VASP.

Computed properties:
E_form (uncorrected) ... -2.05 eV/atom
Final energy ... -6.5781 eV per atom
Crystal system ... monoclinic

```
&SYSTEM
  ibrav = 0, nat = 20, ntyp = 4
/
ATOMIC_SPECIES
Sm 150.36 Sm.upf
Cd 112.41 Cd.upf
Pd 106.42 Pd.upf
O 16.00 O.upf
ATOMIC_POSITIONS angstrom
Sm 0.4802 -4.6036 -3.6663
Sm -4.7613 -5.1650 -2.7852
Sm -7.4465 -2.4233 -2.1434
Sm -2.2050 -1.8619 -3.0245
Cd -1.8855 1.0850 -1.7217
Cd -1.5977 -4.5984 -1.1831
Pd -4.5086 -1.7918 -0.6969
Pd 1.0255 -1.7217 -2.2080
O -0.0469 -2.0215 -3.9120
O -4.2634 -4.3038 -5.2379
O -6.9194 -5.0054 -1.8977
O -2.7029 -2.7231 -0.5717
O -2.0024 -4.1772 -3.4084
O -6.3560 -6.2294 -4.4392
O -4.9639 -2.8497 -2.4013
O -0.6104 -0.7975 -1.3705
O -3.3440 -1.3878 -4.9831
O -3.3035 -6.6561 -3.9122
O -3.6223 -5.6391 -0.8266
O -3.6629 -0.3708 -1.8974
CELL_PARAMETERS angstrom
-3.7710 2.1699 -3.4434
2.0510 -3.4434 -4.4160
-5.2463 -5.7534 2.0497
```

[3]
Entry from Alexandria: crystalline InN4 at its relaxed geometry (PBE). Values from VASP.

Computed properties:
E_form (uncorrected) ... 0.38 eV/atom
Final energy ... -6.8243 eV per atom
Crystal system ... tetragonal

```
&SYSTEM
  ibrav = 0, nat = 5, ntyp = 2
/
ATOMIC_SPECIES
In 114.82 In.upf
N 14.01 N.upf
ATOMIC_POSITIONS angstrom
In 0.0000 0.0000 0.0000
N -1.4129 -4.3150 -0.4773
N -2.1855 -6.3163 -3.2540
N -3.4536 -8.9312 -5.2203
N -2.6809 -6.9299 -2.4436
CELL_PARAMETERS angstrom
-2.9338 -3.9230 -4.7640
2.0157 -5.1349 -1.9135
-3.9483 -4.1883 0.9798
```

[4]
Entry from Alexandria: crystalline BeTlSe2 at its relaxed geometry (PBE). Values from VASP.

Computed properties:
E_form (uncorrected) ... 0.18 eV/atom
Final energy ... -3.0823 eV per atom
Crystal system ... tetragonal

```
&SYSTEM
  ibrav = 0, nat = 4, ntyp = 3
/
ATOMIC_SPECIES
Be 9.01 Be.upf
Tl 204.38 Tl.upf
Se 78.96 Se.upf
ATOMIC_POSITIONS angstrom
Be 1.5889 1.5889 6.3732
Tl 1.5889 1.5889 2.1244
Se 0.0000 0.0000 7.8259
Se 0.0000 0.0000 4.9205
CELL_PARAMETERS angstrom
3.1779 0.0000 0.0000
0.0000 3.1779 0.0000
0.0000 0.0000 8.4976
```

[5]
Entry from Alexandria: crystalline Dy2LuO at its relaxed geometry (PBE). Values from VASP.

Computed properties:
E_form (uncorrected) ... -0.84 eV/atom
Final energy ... -5.5108 eV per atom
Crystal system ... tetragonal

```
&SYSTEM
  ibrav = 0, nat = 4, ntyp = 3
/
ATOMIC_SPECIES
Lu 174.97 Lu.upf
O 16.00 O.upf
Dy 162.50 Dy.upf
ATOMIC_POSITIONS angstrom
Lu -0.4329 -4.8139 -0.3317
O -1.9544 -0.8216 -0.7439
Dy 2.5024 -6.5663 0.6781
Dy 0.5405 -1.4184 0.1465
CELL_PARAMETERS angstrom
-2.7253 -0.8976 1.3651
-1.1835 -0.7456 -2.8530
3.0429 -7.9846 0.8245
```

[6]
Entry from Alexandria: crystalline TiGaCo4 at its relaxed geometry (PBE). Values from VASP.

Computed properties:
Final energy ... -6.7585 eV per atom
Crystal system ... orthorhombic
Energy of formation from the pure elements ... -4.63 kcal/mol of atoms

```
&SYSTEM
  ibrav = 0, nat = 12, ntyp = 3
/
ATOMIC_SPECIES
Ti 47.87 Ti.upf
Ga 69.72 Ga.upf
Co 58.93 Co.upf
ATOMIC_POSITIONS angstrom
Ti 1.0140 -1.0610 1.9218
Ti 1.0141 2.5066 3.8895
Ga 1.0140 2.8448 -0.9380
Ga -1.0139 0.7228 2.9057
Co -1.0139 2.1174 0.3818
Co 1.0141 1.4503 1.5859
Co 3.0420 -0.6717 5.4295
Co 1.0141 -0.0046 4.2255
Co 1.0140 -2.4704 4.4763
Co -1.0139 1.7940 5.1787
Co 1.0141 3.9161 1.3351
Co 3.0420 -0.3484 0.6326
CELL_PARAMETERS angstrom
4.0560 0.0000 0.0000
-2.0279 5.6896 -1.8760
0.0000 -4.2440 7.6873
```

[7]
Entry from Alexandria: crystalline CrCoIr2 at its relaxed geometry (PBE). Values from VASP.

Computed properties:
Final energy ... -8.7131 eV per atom
Crystal system ... tetragonal
Energy of formation from the pure elements ... -2.31 kcal/mol of atoms

```
&SYSTEM
  ibrav = 0, nat = 4, ntyp = 3
/
ATOMIC_SPECIES
Cr 52.00 Cr.upf
Ir 192.22 Ir.upf
Co 58.93 Co.upf
ATOMIC_POSITIONS angstrom
Cr -1.3487 0.7632 2.1461
Ir 0.0000 0.0000 0.0000
Ir -1.1931 -1.7784 1.5559
Co -3.5121 -0.5227 1.3254
CELL_PARAMETERS angstrom
-3.6676 2.0189 1.9156
-3.3565 -3.0643 0.7352
4.4823 0.0302 1.0512
```

[8]
Entry from Alexandria: crystalline NaTiAl at its relaxed geometry (PBE). Values from VASP.

Computed properties:
Final energy ... -4.1931 eV per atom
Crystal system ... triclinic
Energy of formation from the pure elements ... 2.90 kcal/mol of atoms

```
&SYSTEM
  ibrav = 0, nat = 6, ntyp = 3
/
ATOMIC_SPECIES
Na 22.99 Na.upf
Al 26.98 Al.upf
Ti 47.87 Ti.upf
ATOMIC_POSITIONS angstrom
Na 2.1675 1.2397 1.2355
Na 4.7734 0.5299 2.2684
Al 2.5402 -0.3712 4.4540
Al 3.9823 0.7473 6.5628
Ti 6.7636 -0.0181 7.0365
Ti 5.3738 -1.1533 5.0410
CELL_PARAMETERS angstrom
5.4843 0.0032 -0.0005
0.7776 2.8174 -0.0031
1.8456 -2.0155 8.0464
```

[9]
Entry from Alexandria: crystalline V2Pd8Rh at its relaxed geometry (PBE). Values from VASP.

Computed properties:
Final energy ... -6.2525 eV per atom
Crystal system ... monoclinic
Energy of formation from the pure elements ... -3.45 kcal/mol of atoms

```
&SYSTEM
  ibrav = 0, nat = 11, ntyp = 3
/
ATOMIC_SPECIES
V 50.94 V.upf
Pd 106.42 Pd.upf
Rh 102.91 Rh.upf
ATOMIC_POSITIONS angstrom
V -3.5222 1.4200 -2.1026
V -4.1445 1.0605 0.7260
Pd -4.4799 3.4189 -0.6234
Pd -5.7594 -1.0745 0.1897
Pd -6.0194 1.2674 -1.1747
Pd -3.9431 3.7120 -3.3824
Pd -1.6473 1.2131 -0.2019
Pd -1.9074 3.5550 -1.5663
Pd -3.1868 -0.9384 -0.7532
Pd -3.7236 -1.2315 2.0057
Rh -0.5352 -0.9938 -1.6038
CELL_PARAMETERS angstrom
-1.0704 -1.9875 -3.2075
-4.7926 -2.4468 3.1155
-1.8037 6.9148 -1.2846
```

[10]
Entry from Alexandria: crystalline TcAs2Ir at its relaxed geometry (PBE). Values from VASP.

Computed properties:
Final energy ... -6.8200 eV per atom
Crystal system ... orthorhombic
Energy of formation from the pure elements ... 7.18 kcal/mol of atoms

```
&SYSTEM
  ibrav = 0, nat = 4, ntyp = 3
/
ATOMIC_SPECIES
As 74.92 As.upf
Ir 192.22 Ir.upf
Tc 98.00 Tc.upf
ATOMIC_POSITIONS angstrom
As -5.3962 -0.7074 1.1707
As -2.9254 -0.6586 0.4278
Ir -1.9350 0.5007 -1.5107
Tc -4.8585 -0.7540 -1.5317
CELL_PARAMETERS angstrom
-0.9467 2.2560 -3.0004
-0.4487 -2.3980 -1.6615
-5.3981 -0.1113 1.6195
```

[11]
Entry from Alexandria: crystalline BaCdAs2Pd5 at its relaxed geometry (PBE). Values from VASP.

Computed properties:
Final energy ... -4.6662 eV per atom
Crystal system ... tetragonal
Energy of formation from the pure elements ... -9.98 kcal/mol of atoms

```
&SYSTEM
  ibrav = 0, nat = 9, ntyp = 4
/
ATOMIC_SPECIES
Ba 137.33 Ba.upf
Cd 112.41 Cd.upf
As 74.92 As.upf
Pd 106.42 Pd.upf
ATOMIC_POSITIONS angstrom
Ba 0.0000 0.0000 4.6657
Cd 0.0000 0.0000 0.0000
As 2.3196 2.3196 2.2649
As 2.3196 2.3196 7.0666
Pd 0.0000 2.3196 1.4914
Pd 2.3196 0.0000 1.4914
Pd 0.0000 2.3196 7.8401
Pd 2.3196 0.0000 7.8401
Pd 2.3196 2.3196 4.6657
CELL_PARAMETERS angstrom
4.6392 0.0000 0.0000
0.0000 4.6392 0.0000
0.0000 0.0000 9.3315
```

[12]
Entry from Alexandria: crystalline Li3BiO3 at its relaxed geometry (PBE). Values from VASP.

Computed properties:
E_form (uncorrected) ... -1.66 eV/atom
Final energy ... -5.1586 eV per atom
Crystal system ... triclinic

```
&SYSTEM
  ibrav = 0, nat = 56, ntyp = 3
/
ATOMIC_SPECIES
Li 6.94 Li.upf
Bi 208.98 Bi.upf
O 16.00 O.upf
ATOMIC_POSITIONS angstrom
Li 0.4027 -2.5253 -10.7840
Li -4.3796 2.9890 -8.8888
Li -4.2723 -1.5578 -14.7006
Li 0.2954 2.0214 -4.9722
Li -1.5706 -0.3325 -14.0658
Li -2.4063 0.7962 -5.6070
Li -3.4892 5.2137 -8.9902
Li -0.4877 -4.7500 -10.6826
Li 0.1253 2.3393 -8.2169
Li -4.1022 -1.8756 -11.4558
Li -1.6240 -1.1391 -11.6961
Li -2.3530 1.6028 -7.9766
Li -1.5800 3.5836 -9.8516
Li -2.3970 -3.1200 -9.8212
Li 1.8360 -0.8458 -9.8658
Li -5.8129 1.3094 -9.8070
Li 0.9601 -2.0059 -4.5894
Li -4.9370 2.4696 -15.0833
Li -0.8611 -0.4619 -9.1089
Li -3.1158 0.9256 -10.5638
Li -2.0988 2.3422 -13.8368
Li -1.8781 -1.8785 -5.8359
Li -0.1677 -0.0309 -6.5389
Li -3.8092 0.4946 -13.1339
Bi -4.9182 3.3435 -11.9715
Bi 0.9413 -2.8798 -7.7013
Bi -1.4047 4.1263 -6.5688
Bi -3.8361 -0.9312 -8.2832
Bi -0.1408 1.3949 -11.3896
Bi -3.4720 0.3669 -16.6788
Bi -0.5049 0.0968 -2.9940
Bi -2.5722 -3.6627 -13.1039
O -3.1721 3.8263 -7.6161
O -3.7971 3.3281 -13.7528
O -0.1798 -2.8645 -5.9200
O -3.0251 -1.5909 -13.1668
O -0.8049 -3.3627 -12.0567
O -0.9518 2.0546 -6.5059
O -1.8839 1.0093 -15.4991
O -2.0930 -0.5456 -4.1736
O -0.4593 -3.5061 -9.1549
O -3.5176 3.9698 -10.5178
O -0.2301 4.4045 -8.3351
O -3.7468 -3.9408 -11.3376
O -4.1760 1.0935 -8.7335
O 0.1991 -0.6299 -10.9392
O 0.7354 0.0690 -4.6861
O -4.7124 0.3947 -14.9867
O -0.7981 2.2276 -3.1948
O -3.1788 -1.7640 -16.4780
O -1.1799 1.6465 -9.5786
O -2.7970 -1.1828 -10.0942
O 0.8841 -0.7977 -8.0390
O -4.8610 1.2613 -11.6337
O -1.8596 0.8920 -12.4779
O -2.1173 -0.4284 -7.1948
CELL_PARAMETERS angstrom
-0.4708 7.3187 -5.4577
3.2269 -4.9639 -7.2651
-6.7330 -1.8911 -6.9499
```

[13]
Entry from Alexandria: crystalline Ti2AsW at its relaxed geometry (PBE). Values from VASP.

Computed properties:
Final energy ... -8.0802 eV per atom
Crystal system ... tetragonal
Energy of formation from the pure elements ... 6.18 kcal/mol of atoms

```
&SYSTEM
  ibrav = 0, nat = 8, ntyp = 3
/
ATOMIC_SPECIES
As 74.92 As.upf
W 183.84 W.upf
Ti 47.87 Ti.upf
ATOMIC_POSITIONS angstrom
As 3.5950 3.5950 0.0000
As 3.5950 7.1901 1.3201
W 0.0000 0.0000 0.0000
W 7.1901 3.5950 1.3201
Ti 5.2856 1.7975 0.6600
Ti 1.9044 5.3925 0.6600
Ti 5.3925 5.4995 1.9801
Ti 8.9876 8.8807 1.9801
CELL_PARAMETERS angstrom
7.1901 0.0000 0.0000
0.0000 7.1901 0.0000
3.5950 3.5950 2.6401
```

[14]
Entry from Alexandria: crystalline Li2AcIn at its relaxed geometry (PBE). Values from VASP.

Computed properties:
Final energy ... -2.9208 eV per atom
Crystal system ... cubic
Energy of formation from the pure elements ... -5.81 kcal/mol of atoms

```
&SYSTEM
  ibrav = 0, nat = 4, ntyp = 3
/
ATOMIC_SPECIES
Ac 227.00 Ac.upf
Li 6.94 Li.upf
In 114.82 In.upf
ATOMIC_POSITIONS angstrom
Ac 5.1872 2.9948 2.1177
Li 7.7808 4.4923 3.1765
Li 2.5936 1.4974 1.0588
In 0.0000 0.0000 0.0000
CELL_PARAMETERS angstrom
5.1872 0.0000 0.0000
2.5936 4.4923 0.0000
2.5936 1.4974 4.2354
```

[15]
Entry from Alexandria: crystalline KAlPb at its relaxed geometry (PBE). Values from VASP.

Computed properties:
Final energy ... -2.7531 eV per atom
Crystal system ... trigonal
Energy of formation from the pure elements ... 2.22 kcal/mol of atoms

```
&SYSTEM
  ibrav = 0, nat = 6, ntyp = 3
/
ATOMIC_SPECIES
Pb 207.20 Pb.upf
K 39.10 K.upf
Al 26.98 Al.upf
ATOMIC_POSITIONS angstrom
Pb 0.0000 0.0000 12.0580
Pb 0.0000 0.0000 27.0650
K 0.0000 0.0000 22.2992
K 0.0000 0.0000 16.8239
Al 0.0000 0.0000 6.5277
Al 0.0000 0.0000 32.5953
CELL_PARAMETERS angstrom
2.5424 0.0000 13.0410
-1.2712 2.2018 13.0410
-1.2712 -2.2018 13.0410
```

[16]
Entry from Alexandria: crystalline Ge2BiPd9 at its relaxed geometry (PBE). Values from VASP.

Computed properties:
Final energy ... -5.3111 eV per atom
Crystal system ... tetragonal
Energy of formation from the pure elements ... -7.46 kcal/mol of atoms

```
&SYSTEM
  ibrav = 0, nat = 12, ntyp = 3
/
ATOMIC_SPECIES
Ge 72.64 Ge.upf
Bi 208.98 Bi.upf
Pd 106.42 Pd.upf
ATOMIC_POSITIONS angstrom
Ge 0.0000 0.0000 4.0549
Ge 0.0000 0.0000 7.8616
Bi 0.0000 0.0000 0.0000
Pd 2.0089 2.0089 0.0000
Pd 2.0089 2.0089 4.0457
Pd 2.0089 2.0089 7.8708
Pd 2.0089 0.0000 2.1557
Pd 2.0089 0.0000 5.9582
Pd 2.0089 0.0000 9.7608
Pd 0.0000 2.0089 2.1557
Pd 0.0000 2.0089 5.9582
Pd 0.0000 2.0089 9.7608
CELL_PARAMETERS angstrom
4.0178 0.0000 0.0000
0.0000 4.0178 0.0000
0.0000 0.0000 11.9165
```

[17]
Entry from Alexandria: crystalline Ta2IrF2 at its relaxed geometry (PBE). Values from VASP.

Computed properties:
E_form (uncorrected) ... -0.62 eV/atom
Final energy ... -7.8819 eV per atom
Crystal system ... tetragonal

```
&SYSTEM
  ibrav = 0, nat = 5, ntyp = 3
/
ATOMIC_SPECIES
F 19.00 F.upf
Ir 192.22 Ir.upf
Ta 180.95 Ta.upf
ATOMIC_POSITIONS angstrom
F -2.2724 2.0777 -0.4679
F -4.2783 4.9340 -0.7284
Ir 0.0000 0.0000 0.0000
Ta -2.8069 3.7100 -1.9669
Ta -3.7438 3.3017 0.7706
CELL_PARAMETERS angstrom
-1.6741 1.4975 -3.4688
-3.5481 0.6808 2.0063
-1.3286 4.8334 0.2662
```

[18]
Entry from Alexandria: crystalline Li2SnSe3 at its relaxed geometry (PBE). Values from VASP.

Computed properties:
E_form (uncorrected) ... -0.83 eV/atom
Final energy ... -3.8782 eV per atom
Crystal system ... monoclinic

```
&SYSTEM
  ibrav = 0, nat = 12, ntyp = 3
/
ATOMIC_SPECIES
Li 6.94 Li.upf
Sn 118.71 Sn.upf
Se 78.96 Se.upf
ATOMIC_POSITIONS angstrom
Li 2.7412 2.6798 -1.0891
Li 4.4757 1.6076 2.5034
Li 0.7984 3.8170 2.5004
Li -1.1092 4.5716 -1.0861
Sn -2.9487 5.5661 2.3796
Sn 6.3088 0.6013 5.9691
Se -0.4341 1.3935 2.3818
Se 1.4393 0.4516 5.9713
Se 5.0015 2.4296 4.8369
Se -0.7036 5.4591 1.2474
Se 1.2201 4.4312 4.9498
Se 3.0286 3.3672 1.3603
CELL_PARAMETERS angstrom
7.2448 -0.0308 -1.1542
-3.9542 6.0706 -1.1542
0.0662 0.1215 7.1790
```

[19]
Entry from Alexandria: crystalline AcHoMgZn at its relaxed geometry (PBE). Values from VASP.

Computed properties:
Final energy ... -2.9959 eV per atom
Crystal system ... cubic
Energy of formation from the pure elements ... -2.47 kcal/mol of atoms

```
&SYSTEM
  ibrav = 0, nat = 4, ntyp = 4
/
ATOMIC_SPECIES
Mg 24.30 Mg.upf
Zn 65.41 Zn.upf
Ac 227.00 Ac.upf
Ho 164.93 Ho.upf
ATOMIC_POSITIONS angstrom
Mg 0.0000 0.0000 0.0000
Zn 5.4385 3.1399 2.2202
Ac 8.1577 4.7099 3.3304
Ho 2.7192 1.5700 1.1101
CELL_PARAMETERS angstrom
5.4385 0.0000 0.0000
2.7192 4.7099 0.0000
2.7192 1.5700 4.4405
```

[20]
Entry from Alexandria: crystalline LiLa2TlCu at its relaxed geometry (PBE). Values from VASP.

Computed properties:
Final energy ... -3.6905 eV per atom
Crystal system ... tetragonal
Energy of formation from the pure elements ... -1.02 kcal/mol of atoms

```
&SYSTEM
  ibrav = 0, nat = 5, ntyp = 4
/
ATOMIC_SPECIES
Tl 204.38 Tl.upf
Li 6.94 Li.upf
Cu 63.55 Cu.upf
La 138.91 La.upf
ATOMIC_POSITIONS angstrom
Tl -1.7836 -4.1446 0.8398
Li 0.3163 -1.0481 2.0805
Cu 0.0000 0.0000 0.0000
La 0.5967 -2.3939 -1.2967
La -2.6966 -0.7026 0.0561
CELL_PARAMETERS angstrom
-5.3933 -1.4051 0.1122
1.1935 -4.7879 -2.5934
0.6327 -2.0961 4.1610
```